Entry 1:
## SrHRu3 (PBE-GGA)

Data for a geometry-optimized SrHRu3 structure.

a = 4.1679 Å, b = 4.1679 Å, c = 4.1679 Å
α = 90.00°, β = 90.00°, γ = 90.00°
Positions (direct):
Sr 0.0000 0.0000 0.0000
H 0.5000 0.5000 0.5000
Ru 0.0000 0.5000 0.5000
Ru 0.5000 0.0000 0.5000
Ru 0.5000 0.5000 0.0000

relative energy among the computed polymorphs: 0 kJ/mol of formula units
V: 14.48 Å³ per atom
VASP energy: -29.51 eV/f.u.

Entry 2:
## PmSmMg2Au4 (PBE-GGA)

Data for a geometry-optimized PmSmMg2Au4 structure.

a = 8.5420 Å, b = 8.5420 Å, c = 8.5420 Å
α = 34.18°, β = 34.18°, γ = 34.18°
Positions (direct):
Pm 0.0000 0.0000 0.0000
Sm 0.5000 0.5000 0.5000
Mg 0.2499 0.2499 0.2499
Mg 0.7501 0.7501 0.7501
Au 0.1275 0.1275 0.1275
Au 0.3736 0.3736 0.3736
Au 0.6264 0.6264 0.6264
Au 0.8725 0.8725 0.8725

V: 21.92 Å³ per atom
formation enthalpy at 0 K: -748 meV/atom
VASP energy: -31.76 eV/f.u.

Entry 3:
## LaPr8Nd6 (PBE-GGA)

Data for a geometry-optimized LaPr8Nd6 structure.

a = 8.7988 Å, b = 8.7988 Å, c = 8.7988 Å
α = 66.03°, β = 66.03°, γ = 66.03°
Positions (direct):
La 0.0000 0.0000 0.0000
Pr 0.0824 0.6545 0.7717
Pr 0.2283 0.9176 0.3455
Pr 0.3455 0.2283 0.9176
Pr 0.4274 0.4274 0.4274
Pr 0.5726 0.5726 0.5726
Pr 0.6545 0.7717 0.0824
Pr 0.7717 0.0824 0.6545
Pr 0.9176 0.3455 0.2283
Nd 0.1052 0.2666 0.5576
Nd 0.2666 0.5576 0.1052
Nd 0.4424 0.8948 0.7334
Nd 0.5576 0.1052 0.2666
Nd 0.7334 0.4424 0.8948
Nd 0.8948 0.7334 0.4424

relative energy among the computed polymorphs: 0 kJ/mol of formula units
V: 36.30 Å³ per atom
formation enthalpy at 0 K: 136 meV/atom
VASP energy: -69.73 eV/f.u.